No. 1
Ca3SiPt | PBE | relaxed

Energy relative to the elements, uncorrected = -0.250 eV per atom
VASP energy = -3.744 eV/atom
Energy above the most stable polymorph in this dataset = 0.0 kJ per mole of atoms

abc: 5.4058 5.4058 5.4058
angles: 90.00 90.00 90.00
Last column: nearest neighbours and their distance in Å.
Space group Pm-3m (No. 221)
Asymmetric unit:
Ca 0.0000 0.0000 0.5000  2 Pt 2.70
Si 0.5000 0.5000 0.5000  12 Ca 3.82
Pt 0.0000 0.0000 0.0000  6 Ca 2.70

No. 2
Fe2AsPb | PBE | relaxed

ΔE_f = 650 meV per atom
VASP energy = -5.671 eV/atom
Energy above the most stable polymorph in this dataset = 47.9 kJ per mole of atoms

abc: 6.2283 6.2283 6.2283
angles: 90.00 90.00 90.00
Last column: nearest neighbours and their distance in Å.
Space group Fm-3m (No. 225)
Asymmetric unit:
Fe 0.2500 0.2500 0.2500  4 As 2.70, 4 Pb 2.70
As 0.0000 0.0000 0.0000  8 Fe 2.70
Pb 0.0000 0.0000 0.5000  8 Fe 2.70

No. 3
HoTm3Sc4 | PBE | relaxed

ΔE_f = 17 meV per atom
VASP energy = -5.398 eV/atom
Energy above the most stable polymorph in this dataset = 0.0 kJ per mole of atoms

abc: 10.6995 6.8864 5.9657
angles: 90.00 90.00 90.00
Last column: nearest neighbours and their distance in Å.
Space group Pmn2_1 (No. 31)
Asymmetric unit:
Ho 0.0000 0.1325 0.0000  6 Sc 3.33-3.54, 6 Tm 3.36-3.50
Tm 0.0000 0.8679 0.4995  6 Sc 3.32-3.54, 4 Tm 3.36-3.37, 2 Ho 3.49-3.50
Tm 0.2502 0.1323 0.3407  6 Sc 3.33-3.54, 4 Tm 3.36-3.50, 2 Ho 3.36-3.37
Sc 0.0000 0.3816 0.5065  6 Sc 3.29-3.40, 4 Tm 3.33-3.54, 2 Ho 3.41-3.47
Sc 0.0000 0.6187 0.0060  6 Sc 3.30-3.40, 4 Tm 3.33-3.48, 2 Ho 3.35-3.54
Sc 0.2494 0.6185 0.3341  6 Sc 3.29-3.40, 5 Tm 3.32-3.54, 1 Ho 3.33

No. 4
Pm5AlGe2 | PBE | relaxed

ΔE_f = -458 meV per atom
VASP energy = -5.049 eV/atom
Energy above the most stable polymorph in this dataset = 9.8 kJ per mole of atoms

abc: 4.1686 7.3303 15.2791
angles: 90.00 90.00 90.00
Last column: nearest neighbours and their distance in Å.
Space group Immm (No. 71)
Asymmetric unit:
Pm 0.0000 0.0000 0.0000  2 Ge 2.97
Pm 0.0000 0.2239 0.3599  3 Ge 3.02, 1 Pm 3.28
Al 0.0000 0.5000 0.0000  10 Pm 3.41-3.67
Ge 0.0000 0.0000 0.1942  7 Pm 2.97-3.02